No. 1
An optimized crystal structure of Th5FeTe4, computed with PBE-GGA.

```
Th5FeTe4
1.0
-4.924 4.924 3.125
4.924 -4.924 3.125
4.924 4.924 -3.125
Th Fe Te
5 1 4
Cartesian
0.000 0.000 0.000
5.874 2.429 0.000
2.429 3.973 0.000
2.495 0.951 3.125
-0.951 2.495 3.125
0.000 0.000 3.125
3.098 0.783 0.000
4.140 -1.825 3.125
0.783 6.749 0.000
1.825 4.140 3.125
```

Computed properties:
crystal system: tetragonal
DOS(E_F): 8.2 states/eV per cell
uncorrected energy: -6.702 eV/atom
ΔE_f (raw): -0.89 eV/atom

=====

No. 2
An optimized crystal structure of Mg2AlCl, computed with PBE-GGA.

```
Mg2AlCl
1.0
3.168 0.000 0.000
0.000 3.168 0.000
0.000 0.000 10.052
Mg Al Cl
2 1 1
Cartesian
0.000 0.000 0.000
1.584 1.584 2.377
0.000 0.000 4.359
1.584 1.584 8.656
```

Computed properties:
crystal system: tetragonal
ΔE to the lowest computed polymorph: 0.76 eV/f.u.
DOS(E_F): 1.7 states/eV per cell
uncorrected energy: -2.502 eV/atom
ΔE_f (raw): -0.31 eV/atom

=====

No. 3
An optimized crystal structure of TaTiNb, computed with PBE-GGA.

```
TaTiNb
1.0
4.655 0.000 0.000
-2.327 4.031 0.000
0.000 0.000 2.856
Ta Ti Nb
1 1 1
Cartesian
0.000 0.000 0.000
2.327 1.344 1.736
0.000 2.687 0.792
```

Computed properties:
crystal system: trigonal
ΔE to the lowest computed polymorph: 0.00 eV/f.u.
DOS(E_F): 5.2 states/eV per cell
uncorrected energy: -9.922 eV/atom
formation energy from the elements: 0.017 eV per atom